An optimized crystal structure of Tl2H3, computed with PBE-GGA.

For the uncorrected energy, the calculation gives -2.66 eV/atom. As for the volume: 88 Å³/f.u. The calculation puts the theoretical density at 7.76 g cm⁻³.

The structure belongs to space group Fdd2 (No. 43); the cell edges are 9.7941, 10.0790 and 7.1379 Å and the angles 90.00°, 90.00° and 90.00°. Symmetry generates all atoms from Tl at (0.0629, 0.2423, 0.0000), H at (0.0000, 0.0000, 0.2310) and H at (0.0795, 0.0628, 0.2279).


An optimized crystal structure of TlH4, computed with PBE-GGA.

As for the volume: 102 Å³/f.u. The calculation puts the energy relative to the lowest polymorph listed for this composition at 0.00 eV/f.u. The calculation puts the theoretical density at 3.40 g cm⁻³.

The structure belongs to space group C2/m (No. 12); the cell edges are 3.1571, 6.0494 and 10.7235 Å and the angles 90.00°, 96.77° and 90.00°. Symmetry generates all atoms from Tl at (0.0000, 0.0000, 0.0000), H at (0.1803, 0.0000, 0.3330) and H at (0.2132, 0.0000, 0.4036).


Question: theoretical density of number 1 (Tl2H3)?
Answer: 7.76 g cm⁻³